First-principles (GGA-PBEsol) data for a relaxed structure of CrReAu2, as listed in Alexandria.

Structure (CIF):
```
data_CrReAu2
_chemical_formula_sum 'Cr1 Re1 Au2'
_space_group_name_H-M_alt 'P 1'
_space_group_IT_number 1
_space_group_name_Hall 'P 1'
_cell_length_a 2.9308
_cell_length_b 4.6418
_cell_length_c 4.6418
_cell_angle_alpha 90.00
_cell_angle_beta 90.00
_cell_angle_gamma 90.00
loop_
_atom_site_label
_atom_site_type_symbol
_atom_site_fract_x
_atom_site_fract_y
_atom_site_fract_z
Au1 Au 0.0000 0.0000 0.5000
Au2 Au 0.0000 0.5000 0.0000
Cr1 Cr 0.5000 0.5000 0.5000
Re1 Re 0.5000 0.0000 0.0000
```

Values from the calculation:
Formation energy from the elements   0.60 eV per atom
Final energy   -7.2555 eV per atom
Magnetic moment   3.167 μB per cell
E above lowest polymorph   324 meV/atom